K2CuIBr6 | PBE | relaxed

```
K2CuIBr6
1.0
5.545 -5.545 0.000
5.545 5.545 0.000
-5.534 0.000 5.889
K Cu I Br
2 1 1 6
direct
0.250 0.750 0.000
0.750 0.250 0.000
0.000 0.000 0.500
0.500 0.500 0.500
0.198 0.198 0.897
0.250 0.250 0.500
0.250 0.750 0.500
0.750 0.250 0.500
0.750 0.750 0.500
0.802 0.802 0.103
```

Properties
- Formation energy without anion corrections: -754 meV/atom
- Uncorrected energy: -0.187 Ry per atom
- SG: C2/m